Crystalline ErSc2Sb2 at its relaxed geometry. Source: the Alexandria database, functional PBE.

```
ErSc2Sb2
1.0
7.500 0.678 0.868
-1.906 7.285 0.868
-2.318 -3.301 4.179
Er Sc Sb
2 4 4
Cartesian
3.896 2.486 4.436
-0.621 2.177 1.479
-1.260 5.086 3.210
1.668 5.494 1.120
4.535 -0.423 2.705
1.607 -0.831 4.795
-1.005 -0.018 3.568
1.969 0.358 1.479
1.307 4.305 4.436
4.281 4.681 2.346
```

Calculated values
Uncorrected formation energy in eV/atom: -0.59
Size of the total moment in μB per formula unit: 0.7
SG: C2/c